(1)
Material: MnPt2Pb2
Method: DFT, PBE-GGA
State: relaxed

Cell: 6.991 6.991 4.362 Å, 90.00 90.00 90.00°
Atoms (fractional coordinates):
1 Mn 0.500 0.500 0.000
2 Pt 0.641 0.141 0.000
3 Mn 0.000 0.000 0.000
4 Pt 0.141 0.359 0.000
5 Pb 0.671 0.829 0.500
6 Pb 0.329 0.171 0.500
7 Pb 0.171 0.671 0.500
8 Pt 0.359 0.859 0.000
9 Pt 0.859 0.641 0.000
10 Pb 0.829 0.329 0.500

Values from the calculation:
Formation energy from the elements in eV/atom: -0.0085
Space-group type: P4/mbm (127)

=====

(2)
Material: MnPtPb2
Method: DFT, PBE-GGA
State: relaxed

Cell: 3.421 3.421 7.375 Å, 90.00 90.00 90.04°
Atoms (fractional coordinates):
1 Pt 0.500 0.500 0.250
2 Pb 0.000 0.000 0.490
3 Pb 0.000 0.000 0.010
4 Mn 0.500 0.500 0.750

Values from the calculation:
Formation energy from the elements in eV/atom: 0.2471
Space-group type: P4/mmm (123)

=====

(3)
Material: MnSi2Pt7Pb2
Method: DFT, PBE-GGA
State: relaxed

Cell: 3.921 3.921 15.333 Å, 82.66 82.66 90.00°
Atoms (fractional coordinates):
1 Pt 0.932 0.432 0.135
2 Pt 0.568 0.068 0.865
3 Mn 0.000 0.000 0.000
4 Pt 0.309 0.309 0.382
5 Pb 0.209 0.209 0.582
6 Pt 0.432 0.932 0.135
7 Pt 0.691 0.691 0.618
8 Si 0.614 0.614 0.772
9 Pt 0.068 0.568 0.865
10 Pb 0.791 0.791 0.418
11 Si 0.386 0.386 0.228
12 Pt 0.500 0.500 0.000

Values from the calculation:
Formation energy without anion corrections in kcal/mol of atoms: -9.186
Space-group type: I4/mmm (139)

=====

(4)
Material: Mn2TcPtPb
Method: DFT, PBE-GGA
State: relaxed

Cell: 4.648 4.992 4.648 Å, 90.00 90.00 90.00°
Atoms (fractional coordinates):
1 Mn 0.000 0.000 0.500
2 Mn 0.500 0.000 0.000
3 Tc 0.000 0.000 0.000
4 Pb 0.500 0.500 0.500
5 Pt 0.000 0.500 0.000

Values from the calculation:
Formation energy from the elements in eV/atom: 0.8821
Space-group type: P4/mmm (123)

=====

(5)
Material: RbMn3Pb
Method: DFT, PBE-GGA
State: relaxed

Cell: 5.285 5.285 5.285 Å, 90.00 90.00 90.00°
Atoms (fractional coordinates):
1 Mn 0.000 0.000 0.500
2 Rb 0.000 0.000 0.000
3 Mn 0.000 0.500 0.000
4 Pb 0.500 0.500 0.500
5 Mn 0.500 0.000 0.000

Values from the calculation:
Formation energy from the elements in eV/atom: 2.0807
Space-group type: Pm-3m (221)

=====

(6)
Material: RbMn3Pb
Method: DFT, PBE-GGA
State: relaxed

Cell: 5.377 5.377 5.377 Å, 90.00 90.00 90.00°
Atoms (fractional coordinates):
1 Mn 0.000 0.500 0.000
2 Rb 0.500 0.500 0.500
3 Mn 0.000 0.000 0.500
4 Mn 0.500 0.000 0.000
5 Pb 0.000 0.000 0.000

Values from the calculation:
Formation energy from the elements in eV/atom: 1.1085
Space-group type: Pm-3m (221)

=====

(7)
Material: RbMn2Pb
Method: DFT, PBE-GGA
State: relaxed

Cell: 5.553 5.553 10.251 Å, 74.28 74.28 90.00°
Atoms (fractional coordinates):
1 Mn 0.875 0.125 0.750
2 Rb 0.500 0.500 0.000
3 Rb 0.250 0.750 0.500
4 Mn 0.875 0.125 0.250
5 Mn 0.875 0.625 0.250
6 Pb 0.750 0.250 0.500
7 Pb 0.000 0.000 0.000
8 Mn 0.375 0.125 0.750

Values from the calculation:
Formation energy from the elements in eV/atom: 0.7799
Space-group type: I4_1/amd (141)

=====

(8)
Material: Rb3MnPb
Method: DFT, PBE-GGA
State: relaxed

Cell: 7.160 7.160 7.160 Å, 90.00 90.00 90.00°
Atoms (fractional coordinates):
1 Rb 0.000 0.000 0.500
2 Rb 0.500 0.000 0.000
3 Pb 0.000 0.000 0.000
4 Rb 0.000 0.500 0.000
5 Mn 0.500 0.500 0.500

Values from the calculation:
Formation energy from the elements in eV/atom: 0.7023
Space-group type: Pm-3m (221)

=====

(9)
Material: RbMn2RePb
Method: DFT, PBE-GGA
State: relaxed

Cell: 4.995 4.983 4.995 Å, 90.00 90.00 90.00°
Atoms (fractional coordinates):
1 Pb 0.500 0.500 0.500
2 Rb 0.000 0.000 0.000
3 Mn 0.500 0.000 0.000
4 Mn 0.000 0.000 0.500
5 Re 0.000 0.500 0.000

Values from the calculation:
Formation energy from the elements in eV/atom: 2.7106
Space-group type: P4/mmm (123)

=====

(10)
Material: RbMnRh2Pb
Method: DFT, PBE-GGA
State: relaxed

Cell: 4.709 5.125 4.709 Å, 90.00 90.00 90.00°
Atoms (fractional coordinates):
1 Rh 0.500 0.000 0.000
2 Pb 0.000 0.500 0.000
3 Rh 0.000 0.000 0.500
4 Mn 0.000 0.000 0.000
5 Rb 0.500 0.500 0.500

Values from the calculation:
Formation energy from the elements in eV/atom: 0.7757
Space-group type: P4/mmm (123)

=====

(11)
Material: RbMnPb2Se4
Method: DFT, PBE-GGA
State: relaxed

Cell: 8.597 8.597 8.531 Å, 119.67 119.67 89.36°
Atoms (fractional coordinates):
1 Se 0.258 0.239 0.019
2 Pb 0.500 0.500 0.000
3 Se 0.261 0.242 0.481
4 Se 0.758 0.200 0.979
5 Mn 0.500 0.500 0.500
6 Pb 0.500 0.000 0.000
7 Se 0.242 0.800 0.021
8 Pb 0.000 0.000 0.500
9 Se 0.739 0.759 0.519
10 Rb 0.000 0.500 0.500
11 Se 0.300 0.742 0.521
12 Se 0.700 0.258 0.479
13 Pb 0.500 0.000 0.500
14 Mn 0.000 0.000 0.000
15 Rb 0.000 0.500 0.000
16 Se 0.741 0.761 0.981

Values from the calculation:
Formation energy without anion corrections in kcal/mol of atoms: -10.814
Space-group type: C2/c (15)

=====

(12)
Material: RbMnV2Pb
Method: DFT, PBE-GGA
State: relaxed

Cell: 5.230 5.230 4.864 Å, 90.00 90.00 90.00°
Atoms (fractional coordinates):
1 Rb 0.000 0.000 0.000
2 Pb 0.500 0.500 0.500
3 V 0.000 0.500 0.000
4 V 0.500 0.000 0.000
5 Mn 0.000 0.000 0.500

Values from the calculation:
Formation energy from the elements in eV/atom: 2.3098
Space-group type: P4/mmm (123)